Below is a relaxed structure of Th2Cr2MoN6, with properties calculated at the PBE-GGA level.

a = 5.7793 Å, b = 5.7793 Å, c = 6.1125 Å
α = 61.79°, β = 61.79°, γ = 60.00°
With the nearest neighbours (Å) after each atom.
Element x y z (fractional)
N (0.7586, 0.7586, 0.2568)  1 Cr 1.80
N (0.2260, 0.7586, 0.2568)  1 Cr 1.80
N (0.2414, 0.7740, 0.7432)  1 Cr 1.80
N (0.7586, 0.2260, 0.2568)  1 Cr 1.80
N (0.7740, 0.2414, 0.7432)  1 Cr 1.80
N (0.2414, 0.2414, 0.7432)  1 Cr 1.80
Th (0.7850, 0.7850, 0.6449)  3 N 2.53
Th (0.2150, 0.2150, 0.3551)  3 N 2.53
Cr (0.4365, 0.4365, 0.6905)  3 N 1.80, 1 Cr 1.95
Cr (0.5635, 0.5635, 0.3095)  3 N 1.80, 1 Cr 1.95
Mo (0.0000, 0.0000, 0.0000)  6 N 2.04

E_form (uncorrected) (eV/atom): -0.60



Below is a relaxed structure of CrMo2WN, with properties calculated at the PBE-GGA level.

a = 4.1696 Å, b = 4.1696 Å, c = 3.8250 Å
α = 90.00°, β = 90.00°, γ = 90.00°
With the nearest neighbours (Å) after each atom.
Element x y z (fractional)
W (0.5000, 0.5000, 0.5000)  8 Mo 2.83, 4 Cr 2.95
N (0.0000, 0.0000, 0.0000)  2 Cr 1.91, 4 Mo 2.08
Mo (0.5000, 0.0000, 0.0000)  2 N 2.08
Mo (0.0000, 0.5000, 0.0000)  2 N 2.08
Cr (0.0000, 0.0000, 0.5000)  2 N 1.91

E_form (uncorrected) (eV/atom): -0.05



Below is a relaxed structure of Cr2MoWN, with properties calculated at the PBE-GGA level.

a = 3.8866 Å, b = 3.8866 Å, c = 4.1099 Å
α = 90.00°, β = 90.00°, γ = 90.00°
With the nearest neighbours (Å) after each atom.
Element x y z (fractional)
Mo (0.5000, 0.5000, 0.5000)  4 W 2.75, 8 Cr 2.83
N (0.0000, 0.0000, 0.0000)  4 Cr 1.94, 2 W 2.05
Cr (0.5000, 0.0000, 0.0000)  2 N 1.94
Cr (0.0000, 0.5000, 0.0000)  2 N 1.94
W (0.0000, 0.0000, 0.5000)  2 N 2.05

E_form (uncorrected) (eV/atom): -0.07



Below is a relaxed structure of ZnCrMo2N, with properties calculated at the PBE-GGA level.

a = 4.1094 Å, b = 4.1094 Å, c = 3.8575 Å
α = 90.00°, β = 90.00°, γ = 90.00°
With the nearest neighbours (Å) after each atom.
Element x y z (fractional)
Zn (0.5000, 0.5000, 0.5000)  8 Mo 2.82, 4 Cr 2.91
Mo (0.0000, 0.5000, 0.0000)  2 N 2.05
Mo (0.5000, 0.0000, 0.0000)  2 N 2.05
N (0.0000, 0.0000, 0.0000)  2 Cr 1.93, 4 Mo 2.05
Cr (0.0000, 0.0000, 0.5000)  2 N 1.93

E_form (uncorrected) (eV/atom): -0.09



Below is a relaxed structure of NaCr2Mo, with properties calculated at the PBE-GGA level.

a = 4.4798 Å, b = 4.4798 Å, c = 4.4798 Å
α = 60.00°, β = 60.00°, γ = 60.00°
With the nearest neighbours (Å) after each atom.
Element x y z (fractional)
Mo (0.5000, 0.5000, 0.5000)  8 Cr 2.74
Na (0.0000, 0.0000, 0.0000)  8 Cr 2.74
Cr (0.2500, 0.2500, 0.2500)  4 Mo 2.74, 4 Na 2.74
Cr (0.7500, 0.7500, 0.7500)  4 Mo 2.74, 4 Na 2.74

DFT formation energy (meV/atom): 886



Below is a relaxed structure of NaCrMo3, with properties calculated at the PBE-GGA level.

a = 4.5725 Å, b = 4.5725 Å, c = 4.5725 Å
α = 90.00°, β = 90.00°, γ = 90.00°
With the nearest neighbours (Å) after each atom.
Element x y z (fractional)
Mo (0.0000, 0.5000, 0.0000)  2 Cr 2.29
Mo (0.0000, 0.0000, 0.5000)  2 Cr 2.29
Mo (0.5000, 0.0000, 0.0000)  2 Cr 2.29
Na (0.5000, 0.5000, 0.5000)  12 Mo 3.23
Cr (0.0000, 0.0000, 0.0000)  6 Mo 2.29

DFT formation energy (meV/atom): 1337